1.
This record from Alexandria describes a relaxed Sm5Er2Sc4 crystal. The functional is GGA-PBE.

Formation enthalpy at 0 K = 0.178 eV per atom

Unit cell a=3.363 b=8.427 c=11.901 alpha=84.49 beta=98.12 gamma=90.00
Element x y z (fractional)
Sm 0.860 0.122 0.721
Er 0.092 0.268 0.183
Er 0.908 0.732 0.817
Sm 0.140 0.878 0.279
Sm 0.231 0.206 0.463
Sm 0.769 0.794 0.537
Sc 0.955 0.367 0.910
Sc 0.335 0.463 0.670
Sc 0.665 0.537 0.330
Sm 0.500 0.000 0.000
Sc 0.045 0.633 0.090

2.
This record from Alexandria describes a relaxed K4LaBe crystal. The functional is GGA-PBE.

Formation enthalpy at 0 K = 0.928 eV per atom

Unit cell a=7.465 b=7.465 c=7.465 alpha=60.00 beta=60.00 gamma=60.00
Element x y z (fractional)
K 0.374 0.374 0.374
K 0.374 0.879 0.374
K 0.879 0.374 0.374
K 0.374 0.374 0.879
Be 0.000 0.000 0.000
La 0.750 0.750 0.750

3.
This record from Alexandria describes a relaxed SmMgCu2 crystal. The functional is GGA-PBE.

Formation enthalpy at 0 K = -0.049 eV per atom

Unit cell a=3.224 b=4.888 c=4.888 alpha=90.00 beta=90.00 gamma=90.00
Element x y z (fractional)
Cu 0.000 0.500 0.000
Cu 0.000 0.000 0.500
Sm 0.500 0.000 0.000
Mg 0.500 0.500 0.500

4.
This record from Alexandria describes a relaxed Na3Tl3Ag2 crystal. The functional is GGA-PBE.

Energy relative to the lowest polymorph listed for this composition = 0 meV per atom
Formation enthalpy at 0 K = -0.058 eV per atom

Unit cell a=4.801 b=4.873 c=9.334 alpha=74.56 beta=74.93 gamma=89.84
Element x y z (fractional)
Na 0.000 0.000 0.000
Na 0.139 0.638 0.722
Ag 0.753 0.753 0.498
Tl 0.358 0.855 0.289
Tl 0.500 0.500 0.000
Ag 0.247 0.247 0.502
Na 0.861 0.362 0.278
Tl 0.642 0.145 0.711

5.
This record from Alexandria describes a relaxed LuPaIr crystal. The functional is GGA-PBE.

Energy relative to the lowest polymorph listed for this composition = 100 meV per atom
Formation enthalpy at 0 K = -0.417 eV per atom

Unit cell a=4.760 b=4.760 c=4.760 alpha=60.00 beta=60.00 gamma=60.00
Element x y z (fractional)
Lu 0.000 0.000 0.000
Pa 0.500 0.500 0.500
Ir 0.250 0.250 0.250

6.
This record from Alexandria describes a relaxed SrMgTe3 crystal. The functional is GGA-PBE.

Energy relative to the lowest polymorph listed for this composition = 752 meV per atom
Formation energy from raw total energies = 0.7 eV/f.u.

Unit cell a=6.089 b=6.089 c=6.089 alpha=90.00 beta=90.00 gamma=90.00
Element x y z (fractional)
Te 0.500 0.000 0.000
Mg 0.500 0.500 0.500
Te 0.000 0.500 0.000
Sr 0.000 0.000 0.000
Te 0.000 0.000 0.500

| no. | D(E_F) (states/eV per cell) |
| --- | --- |
| 1 | 17.5 |
| 2 | 12.1 |
| 3 | 3.6 |
| 4 | 3.2 |
| 5 | 5.2 |
| 6 | 10.4 |